# 1
## Mg2OsRu (PBE)

Data for a relaxed structure of Mg2OsRu.

The excess energy over the best structure of this formula in the dataset comes out at 0.1471 eV/atom. The density of states at the Fermi level comes out at 3.2 states/eV/f.u. Its total energy is -5.77 eV per atom. The space group is No. 44. The calculation puts the total magnetic moment at 0.0 μB per cell. The energy of formation is 153 meV per atom.

Geometry as CIF:
```
data_Mg2OsRu
_cell_length_a 5.4973
_cell_length_b 5.4973
_cell_length_c 5.4973
_cell_angle_alpha 149.22
_cell_angle_beta 130.63
_cell_angle_gamma 59.32
_symmetry_space_group_name_H-M 'P 1'
_symmetry_Int_Tables_number 1
_symmetry_space_group_name_Hall 'P 1'
loop_
_atom_site_label
_atom_site_fract_x
_atom_site_fract_y
_atom_site_fract_z
Mg1 0.0175 0.0175 0.0000
Mg2 0.7338 0.2338 0.5000
Os1 0.4832 0.4832 0.0000
Ru1 0.2656 0.7656 0.5000
```


# 2
## AgHg2Au (PBE)

Data for a relaxed structure of AgHg2Au.

The density of states at the Fermi level comes out at 1.1 states/eV/f.u. Its total energy is -1.58 eV per atom. The space group is No. 123. The calculation puts the total magnetic moment at 0.0 μB per cell. The energy of formation is 101 meV per atom.

Geometry as CIF:
```
data_AgHg2Au
_cell_length_a 3.4549
_cell_length_b 3.4549
_cell_length_c 6.8030
_cell_angle_alpha 90.00
_cell_angle_beta 90.00
_cell_angle_gamma 90.00
_symmetry_space_group_name_H-M 'P 1'
_symmetry_Int_Tables_number 1
_symmetry_space_group_name_Hall 'P 1'
loop_
_atom_site_label
_atom_site_fract_x
_atom_site_fract_y
_atom_site_fract_z
Au1 0.5000 0.5000 0.7500
Hg1 0.0000 0.0000 0.0011
Hg2 0.0000 0.0000 0.4989
Ag1 0.5000 0.5000 0.2500
```


# 3
## KAgS6 (PBE)

Data for a relaxed structure of KAgS6.

Its total energy is -3.80 eV per atom. As for the uncorrected formation energy: -0.206 eV per atom. The space group is No. 2. The calculation puts the total magnetic moment at 0.0 μB per cell.

Geometry as CIF:
```
data_KAgS6
_cell_length_a 8.6182
_cell_length_b 8.2294
_cell_length_c 10.4075
_cell_angle_alpha 71.48
_cell_angle_beta 150.90
_cell_angle_gamma 127.81
_symmetry_space_group_name_H-M 'P 1'
_symmetry_Int_Tables_number 1
_symmetry_space_group_name_Hall 'P 1'
loop_
_atom_site_label
_atom_site_fract_x
_atom_site_fract_y
_atom_site_fract_z
K1 0.5000 0.5000 0.5000
Ag1 0.0000 0.0000 0.0000
S1 0.3638 0.8721 0.2437
S2 0.9956 0.8224 0.4546
S3 0.6759 0.5065 0.2074
S4 0.0044 0.1776 0.5454
S5 0.6362 0.1279 0.7563
S6 0.3241 0.4935 0.7926
```


# 4
## Th2MgAu4 (PBE)

Data for a relaxed structure of Th2MgAu4.

The density of states at the Fermi level comes out at 6.5 states/eV/f.u. Its total energy is -4.79 eV per atom. The space group is No. 166. The calculation puts the total magnetic moment at 0.0 μB per cell. The energy of formation is -573 meV per atom.

Geometry as CIF:
```
data_Th2MgAu4
_cell_length_a 4.5725
_cell_length_b 4.5725
_cell_length_c 9.9697
_cell_angle_alpha 76.74
_cell_angle_beta 76.74
_cell_angle_gamma 60.00
_symmetry_space_group_name_H-M 'P 1'
_symmetry_Int_Tables_number 1
_symmetry_space_group_name_Hall 'P 1'
loop_
_atom_site_label
_atom_site_fract_x
_atom_site_fract_y
_atom_site_fract_z
Th1 0.7524 0.7524 0.7428
Th2 0.2476 0.2476 0.2572
Mg1 0.0000 0.0000 0.0000
Au1 0.8608 0.8608 0.4176
Au2 0.1392 0.1392 0.5824
Au3 0.6383 0.6383 0.0850
Au4 0.3617 0.3617 0.9150
```


# 5
## AcTcO6 (PBE)

Data for a relaxed structure of AcTcO6.

The density of states at the Fermi level comes out at 3.6 states/eV/f.u. Its total energy is -7.05 eV per atom. As for the uncorrected formation energy: -1.522 eV per atom. The space group is No. 12. The calculation puts the total magnetic moment at 0.0 μB per cell.

Geometry as CIF:
```
data_AcTcO6
_cell_length_a 4.5456
_cell_length_b 4.5456
_cell_length_c 5.1992
_cell_angle_alpha 82.70
_cell_angle_beta 82.70
_cell_angle_gamma 95.64
_symmetry_space_group_name_H-M 'P 1'
_symmetry_Int_Tables_number 1
_symmetry_space_group_name_Hall 'P 1'
loop_
_atom_site_label
_atom_site_fract_x
_atom_site_fract_y
_atom_site_fract_z
Ac1 0.5000 0.5000 0.5000
Tc1 0.0000 0.0000 0.0000
O1 0.0626 0.6795 0.2505
O2 0.6795 0.0626 0.2505
O3 0.3205 0.9374 0.7495
O4 0.9374 0.3205 0.7495
O5 0.2675 0.2675 0.1365
O6 0.7325 0.7325 0.8635
```


# 6
## Th2FeAs4Ir3 (PBE)

Data for a relaxed structure of Th2FeAs4Ir3.

The density of states at the Fermi level comes out at 6.4 states/eV/f.u. Its total energy is -7.59 eV per atom. The space group is No. 115. The calculation puts the total magnetic moment at 1.2 μB per cell. The energy of formation is -744 meV per atom.

Geometry as CIF:
```
data_Th2FeAs4Ir3
_cell_length_a 4.3485
_cell_length_b 4.3485
_cell_length_c 9.7494
_cell_angle_alpha 90.00
_cell_angle_beta 90.00
_cell_angle_gamma 90.00
_symmetry_space_group_name_H-M 'P 1'
_symmetry_Int_Tables_number 1
_symmetry_space_group_name_Hall 'P 1'
loop_
_atom_site_label
_atom_site_fract_x
_atom_site_fract_y
_atom_site_fract_z
Th1 0.5000 0.0000 0.2541
Th2 0.0000 0.5000 0.7459
Fe1 0.5000 0.5000 0.5000
As1 0.5000 0.5000 0.0000
As2 0.0000 0.0000 0.0000
As3 0.5000 0.0000 0.6271
As4 0.0000 0.5000 0.3729
Ir1 0.0000 0.0000 0.5000
Ir2 0.5000 0.0000 0.8800
Ir3 0.0000 0.5000 0.1200
```


# 7
## In3Hg5Pb3 (PBE)

Data for a relaxed structure of In3Hg5Pb3.

The density of states at the Fermi level comes out at 4.6 states/eV/f.u. Its total energy is -1.81 eV per atom. The space group is No. 189. The calculation puts the total magnetic moment at 0.0 μB per cell. The energy of formation is 83 meV per atom.

Geometry as CIF:
```
data_In3Hg5Pb3
_cell_length_a 3.2889
_cell_length_b 10.8344
_cell_length_c 10.8344
_cell_angle_alpha 120.00
_cell_angle_beta 90.00
_cell_angle_gamma 90.00
_symmetry_space_group_name_H-M 'P 1'
_symmetry_Int_Tables_number 1
_symmetry_space_group_name_Hall 'P 1'
loop_
_atom_site_label
_atom_site_fract_x
_atom_site_fract_y
_atom_site_fract_z
In1 0.5000 0.8312 0.0000
In2 0.5000 0.1688 0.1688
In3 0.5000 0.0000 0.8312
Hg1 0.5000 0.6667 0.3333
Hg2 0.5000 0.3333 0.6667
Hg3 0.5000 0.3226 0.0000
Hg4 0.5000 0.6774 0.6774
Hg5 0.5000 0.0000 0.3226
Pb1 0.0000 0.5751 0.0000
Pb2 0.0000 0.0000 0.5751
Pb3 0.0000 0.4249 0.4249
```


# 8
## Lu3Ga10Ni (PBE)

Data for a relaxed structure of Lu3Ga10Ni.

The density of states at the Fermi level comes out at 3.9 states/eV/f.u. Its total energy is -4.00 eV per atom. The space group is No. 8. The calculation puts the total magnetic moment at 0.0 μB per cell. The energy of formation is -451 meV per atom.

Geometry as CIF:
```
data_Lu3Ga10Ni
_cell_length_a 8.0433
_cell_length_b 8.0433
_cell_length_c 9.8614
_cell_angle_alpha 53.97
_cell_angle_beta 53.97
_cell_angle_gamma 30.30
_symmetry_space_group_name_H-M 'P 1'
_symmetry_Int_Tables_number 1
_symmetry_space_group_name_Hall 'P 1'
loop_
_atom_site_label
_atom_site_fract_x
_atom_site_fract_y
_atom_site_fract_z
Lu1 0.6826 0.6826 0.3352
Lu2 0.3150 0.3150 0.6839
Lu3 0.0007 0.0007 0.9932
Ga1 0.8434 0.8434 0.4371
Ga2 0.1548 0.1548 0.5891
Ga3 0.8507 0.8507 0.8736
Ga4 0.1443 0.1443 0.1221
Ga5 0.0007 0.0007 0.5064
Ga6 0.4994 0.4994 0.7173
Ga7 0.5082 0.5082 0.2884
Ga8 0.3481 0.3481 0.2761
Ga9 0.6584 0.6584 0.9366
Ga10 0.3346 0.3346 0.0417
Ni1 0.6591 0.6591 0.6993
```


# 9
## Ac5CeIn3 (PBE)

Data for a relaxed structure of Ac5CeIn3.

The density of states at the Fermi level comes out at 13.3 states/eV/f.u. Its total energy is -4.09 eV per atom. The space group is No. 193. The calculation puts the total magnetic moment at 3.6 μB per cell. The energy of formation is -236 meV per atom.

Geometry as CIF:
```
data_Ac5CeIn3
_cell_length_a 7.3469
_cell_length_b 10.1347
_cell_length_c 10.1348
_cell_angle_alpha 120.00
_cell_angle_beta 90.00
_cell_angle_gamma 90.00
_symmetry_space_group_name_H-M 'P 1'
_symmetry_Int_Tables_number 1
_symmetry_space_group_name_Hall 'P 1'
loop_
_atom_site_label
_atom_site_fract_x
_atom_site_fract_y
_atom_site_fract_z
Ac1 0.0000 0.6667 0.3333
Ac2 0.5000 0.3333 0.6667
Ac3 0.0000 0.3333 0.6667
Ac4 0.5000 0.6667 0.3333
Ac5 0.7500 0.6789 0.6789
Ac6 0.7500 0.0000 0.3211
Ac7 0.7500 0.3211 0.0000
Ac8 0.2500 0.3211 0.3211
Ac9 0.2500 0.0000 0.6789
Ac10 0.2500 0.6789 0.0000
Ce1 0.0000 0.0000 0.0000
Ce2 0.5000 0.0000 0.0000
In1 0.7500 0.3389 0.3389
In2 0.7500 0.0000 0.6611
In3 0.7500 0.6611 0.0000
In4 0.2500 0.6611 0.6611
In5 0.2500 0.0000 0.3389
In6 0.2500 0.3389 0.0000
```


# 10
## CaTh2Os (PBE)

Data for a relaxed structure of CaTh2Os.

The excess energy over the best structure of this formula in the dataset comes out at 0.1414 eV/atom. The density of states at the Fermi level comes out at 4.6 states/eV/f.u. Its total energy is -6.99 eV per atom. The space group is No. 166. The calculation puts the total magnetic moment at 0.0 μB per cell. The energy of formation is 27 meV per atom.

Geometry as CIF:
```
data_CaTh2Os
_cell_length_a 4.0829
_cell_length_b 4.0829
_cell_length_c 10.9260
_cell_angle_alpha 79.23
_cell_angle_beta 79.23
_cell_angle_gamma 60.00
_symmetry_space_group_name_H-M 'P 1'
_symmetry_Int_Tables_number 1
_symmetry_space_group_name_Hall 'P 1'
loop_
_atom_site_label
_atom_site_fract_x
_atom_site_fract_y
_atom_site_fract_z
Ca1 0.0000 0.0000 0.0000
Os1 0.5000 0.5000 0.5000
Th1 0.1191 0.1191 0.6428
Th2 0.8809 0.8809 0.3572
```


# 11
## DyHo6Hg2 (PBE)

Data for a relaxed structure of DyHo6Hg2.

The density of states at the Fermi level comes out at 9.3 states/eV/f.u. Its total energy is -3.84 eV per atom. The space group is No. 12. The calculation puts the total magnetic moment at 0.0 μB per cell. The energy of formation is -206 meV per atom.

Geometry as CIF:
```
data_DyHo6Hg2
_cell_length_a 3.7097
_cell_length_b 6.5315
_cell_length_c 11.5547
_cell_angle_alpha 75.57
_cell_angle_beta 80.76
_cell_angle_gamma 73.50
_symmetry_space_group_name_H-M 'P 1'
_symmetry_Int_Tables_number 1
_symmetry_space_group_name_Hall 'P 1'
loop_
_atom_site_label
_atom_site_fract_x
_atom_site_fract_y
_atom_site_fract_z
Dy1 0.0000 0.0000 0.0000
Ho1 0.6879 0.5004 0.1238
Ho2 0.3121 0.4996 0.8762
Ho3 0.3122 0.7912 0.5844
Ho4 0.9845 0.6931 0.3379
Ho5 0.0155 0.3069 0.6621
Ho6 0.6878 0.2088 0.4156
Hg1 0.3556 0.0815 0.2073
Hg2 0.6444 0.9185 0.7927
```


# 12
## Tb4CuSn3 (PBE)

Data for a relaxed structure of Tb4CuSn3.

The density of states at the Fermi level comes out at 6.9 states/eV/f.u. Its total energy is -4.92 eV per atom. The space group is No. 25. The calculation puts the total magnetic moment at 0.0 μB per cell. The energy of formation is -589 meV per atom.

Geometry as CIF:
```
data_Tb4CuSn3
_cell_length_a 4.3935
_cell_length_b 4.3251
_cell_length_c 11.3092
_cell_angle_alpha 90.00
_cell_angle_beta 90.00
_cell_angle_gamma 90.00
_symmetry_space_group_name_H-M 'P 1'
_symmetry_Int_Tables_number 1
_symmetry_space_group_name_Hall 'P 1'
loop_
_atom_site_label
_atom_site_fract_x
_atom_site_fract_y
_atom_site_fract_z
Tb1 0.5000 0.5000 0.3510
Tb2 0.0000 0.5000 0.8717
Tb3 0.0000 0.0000 0.1344
Tb4 0.5000 0.0000 0.6394
Cu1 0.5000 0.5000 0.0770
Sn1 0.0000 0.5000 0.5945
Sn2 0.0000 0.0000 0.4088
Sn3 0.5000 0.0000 0.9232
```